1.
Y4Ga3Pt: optimized geometry, PBE.

Results
The calculation puts the formation energy at -795 meV/atom. The calculation puts the density at 6.69 g/cm3. As for the crystal system: orthorhombic. As for the space-group type: Pmm2, No. 25.

Cell: 3.9295 4.3259 11.0970 Å, 90.00 90.00 90.00°
Last column: nearest neighbours and their distance in Å.
Atoms (fractional coordinates):
Y  0.0000  0.0000  0.0000  5 Ga 2.98-3.26, 2 Pt 3.06
Y  0.0000  0.5000  0.2721  4 Pt 3.00, 3 Ga 3.13-3.18
Y  0.5000  0.0000  0.4793  1 Pt 2.98, 6 Ga 3.05-3.20
Y  0.5000  0.5000  0.7795  7 Ga 3.03-3.14
Ga  0.0000  0.0000  0.7066  2 Ga 2.72, 4 Y 3.03
Ga  0.0000  0.5000  0.5583  2 Ga 2.72
Ga  0.5000  0.5000  0.0524  2 Pt 2.79, 5 Y 2.98-3.03
Pt  0.5000  0.0000  0.2110  2 Ga 2.79, 7 Y 2.98-3.06

2.
La2Co2Cl: optimized geometry, PBE.

Results
The value obtained for the uncorrected formation energy is -0.8269 eV/atom. The calculation puts the density at 6.24 g/cm3. As for the crystal system: monoclinic. As for the space-group type: C2/m, No. 12.

Cell: 4.0020 4.0020 8.5834 Å, 103.44 103.44 60.01°
Last column: nearest neighbours and their distance in Å.
Atoms (fractional coordinates):
La  0.0760  0.0760  0.2284  6 Co 2.98-2.99, 3 Cl 3.22
La  0.9240  0.9240  0.7716  6 Co 2.98-2.99, 3 Cl 3.22
Co  0.3332  0.3332  0.9997  3 Co 2.31
Co  0.6668  0.6668  0.0003  3 Co 2.31
Cl  0.5000  0.5000  0.5000  6 La 3.22

3.
BaSm2Tl9: optimized geometry, PBE.

Results
The calculation puts the formation energy at -274 meV/atom. The calculation puts the density at 10.63 g/cm3. As for the crystal system: tetragonal. As for the space-group type: P4/mmm, No. 123.

Cell: 4.9185 4.9185 14.7123 Å, 90.00 90.00 90.00°
Last column: nearest neighbours and their distance in Å.
Atoms (fractional coordinates):
Ba  0.0000  0.0000  0.0000  12 Tl 3.48-3.61
Sm  0.0000  0.0000  0.3450  12 Tl 3.35-3.48
Sm  0.0000  0.0000  0.6550  12 Tl 3.35-3.48
Tl  0.0000  0.5000  0.1796  8 Tl 3.36-3.61, 2 Sm 3.46, 2 Ba 3.61
Tl  0.0000  0.5000  0.5000  4 Sm 3.35, 8 Tl 3.45-3.48
Tl  0.0000  0.5000  0.8204  8 Tl 3.36-3.61, 2 Sm 3.46, 2 Ba 3.61
Tl  0.5000  0.0000  0.1796  8 Tl 3.36-3.61, 2 Sm 3.46, 2 Ba 3.61
Tl  0.5000  0.0000  0.5000  4 Sm 3.35, 8 Tl 3.45-3.48
Tl  0.5000  0.0000  0.8204  8 Tl 3.36-3.61, 2 Sm 3.46, 2 Ba 3.61
Tl  0.5000  0.5000  0.0000  4 Ba 3.48, 8 Tl 3.61
Tl  0.5000  0.5000  0.3353  8 Tl 3.36-3.45, 4 Sm 3.48
Tl  0.5000  0.5000  0.6647  8 Tl 3.36-3.45, 4 Sm 3.48

4.
LaTeRuN2: optimized geometry, PBE.

Results
The value obtained for the uncorrected formation energy is 0.2924 eV/atom. The calculation puts the density at 7.10 g/cm3. As for the crystal system: tetragonal. As for the space-group type: P4/mmm, No. 123. The excess energy over the best structure of this formula in the dataset is 0.0000 eV/atom.

Cell: 4.1667 4.1667 5.3261 Å, 90.00 90.00 90.00°
Last column: nearest neighbours and their distance in Å.
Atoms (fractional coordinates):
La  0.0000  0.0000  0.0000  4 Te 2.95
Te  0.5000  0.5000  0.0000  2 Ru 2.66, 4 La 2.95
Ru  0.5000  0.5000  0.5000  4 N 2.08
N  0.0000  0.5000  0.5000  2 Ru 2.08
N  0.5000  0.0000  0.5000  2 Ru 2.08

5.
TaSb2TeMo: optimized geometry, PBE.

Results
The value obtained for the uncorrected formation energy is 1.1102 eV/atom. The calculation puts the density at 6.99 g/cm3. As for the crystal system: tetragonal. As for the space-group type: P4/mmm, No. 123. The excess energy over the best structure of this formula in the dataset is 0.0000 eV/atom.

Cell: 5.3690 5.3690 5.3424 Å, 90.00 90.00 90.00°
Last column: nearest neighbours and their distance in Å.
Atoms (fractional coordinates):
Ta  0.0000  0.0000  0.0000  2 Te 2.67, 4 Sb 2.68
Sb  0.0000  0.5000  0.0000  2 Ta 2.68
Sb  0.5000  0.0000  0.0000  2 Ta 2.68
Te  0.0000  0.0000  0.5000  2 Ta 2.67
Mo  0.5000  0.5000  0.5000  8 Sb 3.79, 4 Te 3.80

6.
NiSb2TeI: optimized geometry, PBE.

Results
The value obtained for the uncorrected formation energy is 1.5860 eV/atom. The calculation puts the density at 4.85 g/cm3. As for the crystal system: tetragonal. As for the space-group type: P4/mmm, No. 123. The excess energy over the best structure of this formula in the dataset is 1.2839 eV/atom.

Cell: 5.7854 5.7854 5.6942 Å, 90.00 90.00 90.00°
Last column: nearest neighbours and their distance in Å.
Atoms (fractional coordinates):
Ni  0.0000  0.0000  0.0000  8 Sb 4.06, 4 Te 4.09
Sb  0.0000  0.5000  0.5000  2 I 2.89
Sb  0.5000  0.0000  0.5000  2 I 2.89
Te  0.5000  0.5000  0.0000  2 I 2.85
I  0.5000  0.5000  0.5000  2 Te 2.85, 4 Sb 2.89

7.
CsHg2PtSe: optimized geometry, PBE.

Results
The value obtained for the uncorrected formation energy is -0.3354 eV/atom. The calculation puts the density at 8.75 g/cm3. As for the crystal system: tetragonal. As for the space-group type: P4/mmm, No. 123.

Cell: 5.3928 5.3928 5.2739 Å, 90.00 90.00 90.00°
Last column: nearest neighbours and their distance in Å.
Atoms (fractional coordinates):
Cs  0.0000  0.0000  0.0000  8 Hg 3.77, 4 Se 3.81
Hg  0.0000  0.5000  0.5000  2 Pt 2.70
Hg  0.5000  0.0000  0.5000  2 Pt 2.70
Pt  0.5000  0.5000  0.5000  2 Se 2.64, 4 Hg 2.70
Se  0.5000  0.5000  0.0000  2 Pt 2.64

8.
Nd2Sm3YEr6: optimized geometry, PBE.

Results
The calculation puts the formation energy at 17 meV/atom. The calculation puts the density at 7.90 g/cm3. As for the crystal system: monoclinic. As for the space-group type: C2/m, No. 12.

Cell: 6.1942 6.1942 11.7705 Å, 95.01 95.01 119.98°
Last column: nearest neighbours and their distance in Å.
Atoms (fractional coordinates):
Nd  0.1664  0.8336  0.0000  6 Er 3.56-3.57, 3 Nd 3.57-3.58, 3 Y 3.58
Nd  0.8336  0.1664  0.0000  6 Er 3.56-3.57, 3 Nd 3.57-3.58, 3 Y 3.58
Sm  0.0000  0.0000  0.5000  6 Er 3.55, 6 Sm 3.58
Sm  0.3333  0.6667  0.5000  6 Er 3.55, 6 Sm 3.58
Sm  0.6667  0.3333  0.5000  6 Er 3.55, 6 Sm 3.58
Y  0.5000  0.5000  0.0000  6 Er 3.56-3.57, 6 Nd 3.58
Er  0.0826  0.4160  0.7494  3 Sm 3.55, 2 Nd 3.56-3.57, 1 Y 3.57, 6 Er 3.57-3.58
Er  0.2507  0.2507  0.2509  3 Sm 3.55, 1 Y 3.56, 2 Nd 3.57, 6 Er 3.57-3.58
Er  0.4160  0.0826  0.7494  3 Sm 3.55, 2 Nd 3.56-3.57, 1 Y 3.57, 6 Er 3.57-3.58
Er  0.5840  0.9174  0.2506  3 Sm 3.55, 2 Nd 3.56-3.57, 1 Y 3.57, 6 Er 3.57-3.58
Er  0.7493  0.7493  0.7491  3 Sm 3.55, 1 Y 3.56, 2 Nd 3.57, 6 Er 3.57-3.58
Er  0.9174  0.5840  0.2506  3 Sm 3.55, 2 Nd 3.56-3.57, 1 Y 3.57, 6 Er 3.57-3.58